5
Lattice="4.0385 0.0000 0.0000 0.0000 4.0385 0.0000 0.0000 0.0000 4.0397" Properties=species:S:1:pos:R:3 comment="BaFeO3 PBE with a Hubbard U optimized geometry" dos_ef_per_ev_atom=0.72 total_energy_ev_per_atom=-6.32 m_tot_mub_per_fu=4.254 sg="Pm-3m (221)" pbc="T T T"
O 0.0000 0.0000 3.0408
O 2.0193 0.0000 1.0209
O 0.0000 2.0193 1.0209
Ba 2.0193 2.0193 3.0411
Fe 0.0000 0.0000 1.0211